{"formula": "BaLi8In3", "functional": "PBE-GGA", "state": "optimized geometry", "lattice": [[5.5310, 0.0000, 0.0000], [-2.7655, 4.7900, 0.0000], [0.0000, 0.0000, 9.9219]], "species": ["Ba", "Li", "Li", "Li", "Li", "Li", "Li", "Li", "Li", "In", "In", "In"], "frac_coords": [[0.0000, 0.0000, 0.0000], [0.1617, 0.3235, 0.6626], [0.1617, 0.8383, 0.6626], [0.3333, 0.6667, 0.4355], [0.3333, 0.6667, 0.9008], [0.5034, 0.0067, 0.2202], [0.5034, 0.4966, 0.2202], [0.6765, 0.8383, 0.6626], [0.9933, 0.4966, 0.2202], [0.0000, 0.0000, 0.3737], [0.6667, 0.3333, 0.4978], [0.6667, 0.3333, 0.8202]], "ef_ev_per_atom": -0.125, "rho_g_cm3": 3.394, "magnetic_moment_mub_per_fu": 0.0, "spacegroup": "P3m1 (156)", "dos_ef_per_ev_atom": 0.54}



{"formula": "K3GeS3", "functional": "PBE-GGA", "state": "optimized geometry", "lattice": [[4.3961, -6.2812, 0.0000], [4.3961, 6.2812, 0.0000], [-3.7307, 0.0000, 7.4316]], "species": ["K", "K", "K", "K", "K", "K", "Ge", "Ge", "S", "S", "S", "S", "S", "S"], "frac_coords": [[0.0000, 0.5000, 0.5000], [0.1681, 0.8319, 0.0000], [0.2839, 0.2839, 0.8144], [0.5000, 0.0000, 0.5000], [0.7161, 0.7161, 0.1856], [0.8319, 0.1681, 0.0000], [0.3815, 0.3815, 0.3435], [0.6185, 0.6185, 0.6565], [0.1313, 0.1313, 0.3570], [0.2571, 0.5498, 0.2001], [0.4502, 0.7429, 0.7999], [0.5498, 0.2571, 0.2001], [0.7429, 0.4502, 0.7999], [0.8687, 0.8687, 0.6430]], "rho_g_cm3": 2.315, "magnetic_moment_mub_per_fu": 0.0, "spacegroup": "C2/m (12)", "formation_energy_uncorrected_kj_per_mol_fu": -705, "dos_ef_per_ev_atom": 0.00, "de_polymorph_mev_per_atom": 0}



{"formula": "FeSiRu2", "functional": "PBE-GGA", "state": "optimized geometry", "lattice": [[-2.6665, 2.6665, 5.1100], [2.6665, -2.6665, 5.1100], [2.6665, 2.6665, -5.1100]], "species": ["Fe", "Fe", "Si", "Si", "Ru", "Ru", "Ru", "Ru"], "frac_coords": [[0.0000, 0.0000, 0.0000], [0.7500, 0.2500, 0.5000], [0.2500, 0.7500, 0.5000], [0.5000, 0.5000, 0.0000], [0.1096, 0.6250, 0.9846], [0.3750, 0.3596, 0.4846], [0.6404, 0.1250, 0.0154], [0.8750, 0.8904, 0.5154]], "rho_g_cm3": 6.537, "magnetic_moment_mub_per_fu": 0.0, "spacegroup": "I-42d (122)", "formation_energy_uncorrected_kj_per_mol_fu": 295, "dos_ef_per_ev_atom": 0.68}



{"formula": "Tm7Sc2Tl2", "functional": "PBE-GGA", "state": "optimized geometry", "lattice": [[-1.7683, 9.6315, 4.7144], [1.7683, -9.6315, 4.7144], [1.7683, 9.6315, -4.7144]], "species": ["Tm", "Tm", "Tm", "Tm", "Tm", "Tm", "Tm", "Sc", "Sc", "Tl", "Tl"], "frac_coords": [[0.0000, 0.0000, 0.0000], [0.0039, 0.3481, 0.6558], [0.0926, 0.7230, 0.3696], [0.3534, 0.7230, 0.6304], [0.4145, 0.5417, 0.8728], [0.6688, 0.5417, 0.1272], [0.6923, 0.3481, 0.3442], [0.3550, 0.3550, 0.0000], [0.6766, 0.1766, 0.5000], [0.3044, 0.0606, 0.2437], [0.8169, 0.0606, 0.7563]], "ef_ev_per_atom": -0.013, "rho_g_cm3": 8.693, "magnetic_moment_mub_per_fu": 0.5, "spacegroup": "Imm2 (44)", "dos_ef_per_ev_atom": 1.47}



{"formula": "RbHg3Pd", "functional": "PBE-GGA", "state": "optimized geometry", "lattice": [[5.3701, 0.0000, 0.0000], [0.0000, 5.3701, 0.0000], [0.0000, 0.0000, 7.5642]], "species": ["Rb", "Hg", "Hg", "Hg", "Pd"], "frac_coords": [[0.0000, 0.0000, 0.0000], [0.0000, 0.0000, 0.4665], [0.0000, 0.5000, 0.6854], [0.5000, 0.0000, 0.6854], [0.5000, 0.5000, 0.7166]], "ef_ev_per_atom": -0.038, "rho_g_cm3": 6.042, "magnetic_moment_mub_per_fu": 0.0, "spacegroup": "P4mm (99)", "dos_ef_per_ev_atom": 0.30, "de_polymorph_mev_per_atom": 217}



{"formula": "Pr8ZnCd2", "functional": "PBE-GGA", "state": "optimized geometry", "lattice": [[9.4155, -2.7134, 0.0000], [9.4155, 2.7134, 0.0000], [-1.8924, 0.0000, 6.8691]], "species": ["Pr", "Pr", "Pr", "Pr", "Pr", "Pr", "Pr", "Pr", "Zn", "Cd", "Cd"], "frac_coords": [[0.0167, 0.0167, 0.2709], [0.2005, 0.2005, 0.7943], [0.3403, 0.3403, 0.5324], [0.4083, 0.4083, 0.0450], [0.5917, 0.5917, 0.9550], [0.6597, 0.6597, 0.4676], [0.7995, 0.7995, 0.2057], [0.9833, 0.9833, 0.7291], [0.5000, 0.5000, 0.5000], [0.1825, 0.1825, 0.2226], [0.8175, 0.8175, 0.7774]], "ef_ev_per_atom": -0.121, "rho_g_cm3": 6.706, "magnetic_moment_mub_per_fu": 0.0, "spacegroup": "C2/m (12)", "dos_ef_per_ev_atom": 1.11, "de_polymorph_mev_per_atom": 27}



{"formula": "TmCuH", "functional": "PBE-GGA", "state": "optimized geometry", "lattice": [[-1.7002, 1.7002, 4.1668], [1.7002, -1.7002, 4.1668], [1.7002, 1.7002, -4.1668]], "species": ["Tm", "Cu", "H"], "frac_coords": [[0.0000, 0.0000, 0.0000], [0.6730, 0.6730, 0.0000], [0.4678, 0.4678, 0.0000]], "rho_g_cm3": 8.048, "magnetic_moment_mub_per_fu": 0.0, "spacegroup": "I4mm (107)", "dos_ef_per_ev_atom": 0.46, "de_polymorph_mev_per_atom": 252}



{"formula": "LaNdCu10", "functional": "PBE-GGA", "state": "optimized geometry", "lattice": [[4.1324, 0.0000, 0.0000], [0.0000, 5.1668, 0.0000], [0.0000, 0.0000, 8.8654]], "species": ["La", "Nd", "Cu", "Cu", "Cu", "Cu", "Cu", "Cu", "Cu", "Cu", "Cu", "Cu"], "frac_coords": [[0.0000, 0.0000, 0.0000], [0.0000, 0.5000, 0.5000], [0.0000, 0.0000, 0.3352], [0.0000, 0.0000, 0.6648], [0.0000, 0.5000, 0.1676], [0.0000, 0.5000, 0.8324], [0.5000, 0.0000, 0.5000], [0.5000, 0.2515, 0.2524], [0.5000, 0.2515, 0.7476], [0.5000, 0.5000, 0.0000], [0.5000, 0.7485, 0.2524], [0.5000, 0.7485, 0.7476]], "ef_ev_per_atom": -0.160, "rho_g_cm3": 8.059, "magnetic_moment_mub_per_fu": 0.0, "spacegroup": "Pmmm (47)", "dos_ef_per_ev_atom": 0.59}



{"formula": "TlHgW2", "functional": "PBE-GGA", "state": "optimized geometry", "lattice": [[3.1952, 0.0000, 0.0000], [0.0000, 3.1952, 0.0000], [0.0000, 0.0000, 8.1602]], "species": ["Tl", "Hg", "W", "W"], "frac_coords": [[0.0000, 0.0000, 0.0000], [0.5000, 0.5000, 0.6933], [0.0000, 0.0000, 0.4376], [0.5000, 0.5000, 0.2750]], "ef_ev_per_atom": 0.671, "rho_g_cm3": 15.400, "magnetic_moment_mub_per_fu": 0.0, "spacegroup": "P4mm (99)", "dos_ef_per_ev_atom": 1.00, "de_polymorph_mev_per_atom": 76}



{"formula": "CsYHg", "functional": "PBE-GGA", "state": "optimized geometry", "lattice": [[17.6352, 0.0000, 0.0000], [0.0000, 2.0195, 3.4959], [0.0000, -2.0195, 3.4959]], "species": ["Cs", "Cs", "Y", "Y", "Hg", "Hg"], "frac_coords": [[0.1696, 0.0000, 0.0000], [0.8304, 0.0000, 0.0000], [0.3851, 0.6618, 0.6618], [0.6149, 0.6618, 0.6618], [0.0000, 0.6672, 0.6672], [0.5000, 0.9951, 0.9951]], "ef_ev_per_atom": 0.107, "rho_g_cm3": 5.634, "magnetic_moment_mub_per_fu": 0.1, "spacegroup": "Amm2 (38)", "dos_ef_per_ev_atom": 1.08}



{"formula": "TbScHgIr", "functional": "PBE-GGA", "state": "optimized geometry", "lattice": [[0.0000, 3.4786, 3.4786], [3.4786, 0.0000, 3.4786], [3.4786, 3.4786, 0.0000]], "species": ["Tb", "Sc", "Hg", "Ir"], "frac_coords": [[0.0000, 0.0000, 0.0000], [0.5000, 0.5000, 0.5000], [0.7500, 0.7500, 0.7500], [0.2500, 0.2500, 0.2500]], "ef_ev_per_atom": -0.592, "rho_g_cm3": 11.769, "magnetic_moment_mub_per_fu": 0.0, "spacegroup": "F-43m (216)", "dos_ef_per_ev_atom": 0.52}



{"formula": "Sn2Pd2Pt5", "functional": "PBE-GGA", "state": "optimized geometry", "lattice": [[-4.7864, 6.9175, 2.3725], [4.7864, -6.9175, 2.3725], [4.7864, 6.9175, -2.3725]], "species": ["Sn", "Sn", "Sn", "Sn", "Pd", "Pd", "Pd", "Pd", "Pt", "Pt", "Pt", "Pt", "Pt", "Pt", "Pt", "Pt", "Pt", "Pt"], "frac_coords": [[0.0000, 0.0000, 0.0000], [0.3223, 0.0723, 0.2500], [0.5000, 0.0000, 0.5000], [0.6777, 0.9277, 0.7500], [0.0754, 0.4340, 0.6414], [0.2925, 0.4340, 0.8586], [0.7075, 0.5660, 0.1414], [0.9246, 0.5660, 0.3586], [0.0000, 0.0000, 0.5000], [0.0000, 0.5000, 0.0000], [0.2003, 0.0000, 0.7003], [0.2003, 0.5000, 0.2003], [0.3989, 0.0000, 0.8989], [0.3989, 0.5000, 0.3989], [0.6011, 0.0000, 0.1011], [0.6011, 0.5000, 0.6011], [0.7997, 0.0000, 0.2997], [0.7997, 0.5000, 0.7997]], "ef_ev_per_atom": -0.292, "rho_g_cm3": 15.069, "magnetic_moment_mub_per_fu": 0.0, "spacegroup": "Imma (74)", "dos_ef_per_ev_atom": 0.59}



{"formula": "Ca2H4Rh", "functional": "PBE-GGA", "state": "optimized geometry", "lattice": [[-2.5291, 2.5291, 3.5546], [2.5291, -2.5291, 3.5546], [2.5291, 2.5291, -3.5546]], "species": ["Ca", "Ca", "H", "H", "H", "H", "Rh"], "frac_coords": [[0.2500, 0.7500, 0.5000], [0.7500, 0.2500, 0.5000], [0.2376, 0.2376, 0.4753], [0.2376, 0.7624, 0.0000], [0.7624, 0.2376, 0.0000], [0.7624, 0.7624, 0.5247], [0.0000, 0.0000, 0.0000]], "rho_g_cm3": 3.416, "magnetic_moment_mub_per_fu": 0.0, "spacegroup": "I4/mmm (139)", "dos_ef_per_ev_atom": 0.21, "de_polymorph_mev_per_atom": 0}



{"formula": "Pm4Pr3TmSe8", "functional": "PBE-GGA", "state": "optimized geometry", "lattice": [[4.2105, 2.4309, 6.8445], [-4.2105, 2.4309, 6.8445], [0.0000, -4.8618, 6.8445]], "species": ["Pm", "Pm", "Pm", "Pm", "Pr", "Pr", "Pr", "Tm", "Se", "Se", "Se", "Se", "Se", "Se", "Se", "Se"], "frac_coords": [[0.0000, 0.0000, 0.0000], [0.0000, 0.5000, 0.5000], [0.5000, 0.0000, 0.5000], [0.5000, 0.5000, 0.0000], [0.0000, 0.0000, 0.5000], [0.0000, 0.5000, 0.0000], [0.5000, 0.0000, 0.0000], [0.5000, 0.5000, 0.5000], [0.2521, 0.2521, 0.2521], [0.2567, 0.2567, 0.7393], [0.2567, 0.7393, 0.2567], [0.2607, 0.7433, 0.7433], [0.7393, 0.2567, 0.2567], [0.7433, 0.2607, 0.7433], [0.7433, 0.7433, 0.2607], [0.7479, 0.7479, 0.7479]], "rho_g_cm3": 7.125, "magnetic_moment_mub_per_fu": 0.0, "spacegroup": "R-3m (166)", "formation_energy_uncorrected_kj_per_mol_fu": -2788, "dos_ef_per_ev_atom": 0.65}



{"formula": "La2Mg2Sc", "functional": "PBE-GGA", "state": "optimized geometry", "lattice": [[9.0047, 0.0000, 0.0000], [0.0000, 9.0047, 0.0000], [0.0000, 0.0000, 3.7742]], "species": ["La", "La", "La", "La", "Mg", "Mg", "Mg", "Mg", "Sc", "Sc"], "frac_coords": [[0.1426, 0.3574, 0.0000], [0.3574, 0.8574, 0.0000], [0.6426, 0.1426, 0.0000], [0.8574, 0.6426, 0.0000], [0.1580, 0.6580, 0.5000], [0.3420, 0.1580, 0.5000], [0.6580, 0.8420, 0.5000], [0.8420, 0.3420, 0.5000], [0.0000, 0.0000, 0.0000], [0.5000, 0.5000, 0.0000]], "ef_ev_per_atom": 0.194, "rho_g_cm3": 4.030, "magnetic_moment_mub_per_fu": 0.0, "spacegroup": "P4/mbm (127)", "dos_ef_per_ev_atom": 1.15, "de_polymorph_mev_per_atom": 85}



{"formula": "HRuCN", "functional": "PBE-GGA", "state": "optimized geometry", "lattice": [[2.7876, 0.0000, 0.0000], [1.3721, 3.1001, 0.0000], [1.3767, 1.1497, 3.7284]], "species": ["H", "Ru", "C", "N"], "frac_coords": [[0.0000, 0.0000, 0.0000], [0.6914, 0.2075, 0.3756], [0.1743, 0.6254, 0.0062], [0.3173, 0.6917, 0.6446]], "rho_g_cm3": 6.602, "magnetic_moment_mub_per_fu": 0.0, "spacegroup": "P1 (1)", "dos_ef_per_ev_atom": 0.36, "de_polymorph_mev_per_atom": 122}



{"formula": "BaNbZn2Ge", "functional": "PBE-GGA", "state": "optimized geometry", "lattice": [[4.8763, 0.0000, 0.0000], [0.0000, 4.8763, 0.0000], [0.0000, 0.0000, 6.1420]], "species": ["Ba", "Nb", "Zn", "Zn", "Ge"], "frac_coords": [[0.0000, 0.0000, 0.0000], [0.5000, 0.5000, 0.0000], [0.0000, 0.5000, 0.5000], [0.5000, 0.0000, 0.5000], [0.0000, 0.0000, 0.5000]], "ef_ev_per_atom": 0.959, "rho_g_cm3": 4.931, "magnetic_moment_mub_per_fu": 4.1, "spacegroup": "P4/mmm (123)", "dos_ef_per_ev_atom": 1.10}



{"formula": "BeGa4", "functional": "PBE-GGA", "state": "optimized geometry", "lattice": [[4.5453, 0.0000, 0.0000], [0.0000, 4.5453, 0.0000], [0.0000, 0.0000, 4.5453]], "species": ["Be", "Ga", "Ga", "Ga", "Ga"], "frac_coords": [[0.0000, 0.0000, 0.0000], [0.0000, 0.0000, 0.5000], [0.0000, 0.5000, 0.0000], [0.5000, 0.0000, 0.0000], [0.5000, 0.5000, 0.5000]], "ef_ev_per_atom": 0.257, "rho_g_cm3": 5.091, "magnetic_moment_mub_per_fu": 0.0, "spacegroup": "Pm-3m (221)", "dos_ef_per_ev_atom": 0.39}



{"formula": "La5Pr2SmEr", "functional": "PBE-GGA", "state": "optimized geometry", "lattice": [[-4.4531, 4.4531, 8.2278], [4.4531, -4.4531, 8.2278], [4.4531, 4.4531, -8.2278]], "species": ["La", "La", "La", "La", "La", "La", "La", "La", "La", "La", "Pr", "Pr", "Pr", "Pr", "Sm", "Sm", "Er", "Er"], "frac_coords": [[0.0000, 0.0000, 0.0000], [0.0732, 0.5732, 0.9326], [0.1406, 0.0732, 0.5000], [0.3594, 0.8594, 0.9326], [0.4268, 0.3594, 0.5000], [0.5000, 0.5000, 0.0000], [0.5732, 0.6406, 0.5000], [0.6406, 0.1406, 0.0674], [0.8594, 0.9268, 0.5000], [0.9268, 0.4268, 0.0674], [0.1191, 0.3809, 0.5000], [0.3809, 0.8809, 0.2617], [0.6191, 0.1191, 0.7383], [0.8809, 0.6191, 0.5000], [0.2500, 0.2500, 0.0000], [0.7500, 0.7500, 0.0000], [0.2500, 0.7500, 0.5000], [0.7500, 0.2500, 0.5000]], "ef_ev_per_atom": 0.263, "rho_g_cm3": 6.585, "magnetic_moment_mub_per_fu": 0.0, "spacegroup": "I4/mcm (140)", "dos_ef_per_ev_atom": 1.91}



{"formula": "Re2NiB2", "functional": "PBE-GGA", "state": "optimized geometry", "lattice": [[2.2194, -5.5988, 0.0000], [2.2194, 5.5988, 0.0000], [0.0000, 0.0000, 4.3413]], "species": ["Re", "Re", "Re", "Re", "Ni", "Ni", "B", "B", "B", "B"], "frac_coords": [[0.0879, 0.9121, 0.7500], [0.2759, 0.7241, 0.2500], [0.7241, 0.2759, 0.7500], [0.9121, 0.0879, 0.2500], [0.5000, 0.5000, 0.0000], [0.5000, 0.5000, 0.5000], [0.1025, 0.3085, 0.7500], [0.3085, 0.1025, 0.2500], [0.6915, 0.8975, 0.7500], [0.8975, 0.6915, 0.2500]], "ef_ev_per_atom": 0.067, "rho_g_cm3": 13.936, "magnetic_moment_mub_per_fu": 0.0, "spacegroup": "Cmcm (63)", "dos_ef_per_ev_atom": 0.40, "de_polymorph_mev_per_atom": 282}